Material: Ce6Ge3Pd
Method: DFT, GGA-PBE
State: optimized geometry

Values from the calculation:
* calculated total energy: -5.89 eV per atom
* crystal system: monoclinic
* ρ: 7.09 g cm⁻³

```
data_Ce6Ge3Pd
_space_group_name_H-M_alt 'P 1'
_space_group_IT_number 1
_space_group_name_Hall 'P 1'
_cell_length_a 7.234
_cell_length_b 8.136
_cell_length_c 11.695
_cell_angle_alpha 90.00
_cell_angle_beta 127.58
_cell_angle_gamma 90.00
loop_
_atom_site_label
_atom_site_type_symbol
_atom_site_fract_x
_atom_site_fract_y
_atom_site_fract_z
_atom_site_occupancy
Ce1 Ce 0.037 0.097 0.251 1
Ce2 Ce 0.037 0.403 0.751 1
Ce3 Ce 0.223 0.676 0.064 1
Ce4 Ce 0.223 0.824 0.564 1
Ce5 Ce 0.411 0.183 0.071 1
Ce6 Ce 0.411 0.317 0.571 1
Ce7 Ce 0.589 0.683 0.429 1
Ce8 Ce 0.589 0.817 0.929 1
Ce9 Ce 0.777 0.176 0.436 1
Ce10 Ce 0.777 0.324 0.936 1
Ce11 Ce 0.963 0.597 0.249 1
Ce12 Ce 0.963 0.903 0.749 1
Ge1 Ge 0.000 0.000 0.000 1
Ge2 Ge 0.000 0.500 0.500 1
Ge3 Ge 0.306 0.120 0.757 1
Ge4 Ge 0.306 0.380 0.257 1
Ge5 Ge 0.694 0.620 0.743 1
Ge6 Ge 0.694 0.880 0.243 1
Pd1 Pd 0.500 0.000 0.500 1
Pd2 Pd 0.500 0.500 0.000 1
```